The following is a DFT calculation (GGA-PBE) of an optimized crystal structure of BaZr4Pt.

Output
volume: 24.3 Å³/atom
VASP energy: -6.600 eV/atom
size of the total moment: 0.00 μB/atom

```
data_BaZr4Pt
_chemical_formula_sum 'Ba4 Zr16 Pt4'
_cell_length_a 8.3511
_cell_length_b 8.3511
_cell_length_c 8.3511
_cell_angle_alpha 90.00
_cell_angle_beta 90.00
_cell_angle_gamma 90.00
_symmetry_space_group_name_H-M 'F -4 3 m'
_symmetry_Int_Tables_number 216
_symmetry_space_group_name_Hall 'F -4 2 3'
loop_
_atom_site_label
_atom_site_fract_x
_atom_site_fract_y
_atom_site_fract_z
Ba1 0.0000 0.0000 0.0000
Zr1 0.1237 0.1237 0.3763
Pt1 0.2500 0.2500 0.7500
```

The following is a DFT calculation (GGA-PBE) of an optimized crystal structure of Ac2TeRh.

Output
volume: 34.2 Å³/atom
ΔE to the lowest computed polymorph: 113 meV/atom
raw formation energy: -0.98 eV per atom
size of the total moment: 0.00 μB/atom

```
data_Ac2TeRh
_chemical_formula_sum 'Ac8 Te4 Rh4'
_cell_length_a 6.5335
_cell_length_b 6.5336
_cell_length_c 12.8240
_cell_angle_alpha 90.00
_cell_angle_beta 90.00
_cell_angle_gamma 90.00
_symmetry_space_group_name_H-M 'P m n a'
_symmetry_Int_Tables_number 53
_symmetry_space_group_name_Hall '-P 2ac 2'
loop_
_atom_site_label
_atom_site_fract_x
_atom_site_fract_y
_atom_site_fract_z
Ac1 0.0000 0.2486 0.1497
Ac2 0.0000 0.2499 0.6004
Te1 0.0000 0.2515 0.8750
Rh1 0.0000 0.2484 0.3750
```

The following is a DFT calculation (GGA-PBE) of an optimized crystal structure of SrCa2RhO.

Output
volume: 22.3 Å³/atom
raw formation energy: -1.20 eV per atom
size of the total moment: 0.00 μB/atom

```
data_SrCa2RhO
_chemical_formula_sum 'Sr1 Ca2 Rh1 O1'
_cell_length_a 4.6638
_cell_length_b 4.6638
_cell_length_c 5.1250
_cell_angle_alpha 90.00
_cell_angle_beta 90.00
_cell_angle_gamma 90.00
_symmetry_space_group_name_H-M 'P 4/m m m'
_symmetry_Int_Tables_number 123
_symmetry_space_group_name_Hall '-P 4 2'
loop_
_atom_site_label
_atom_site_fract_x
_atom_site_fract_y
_atom_site_fract_z
Sr1 0.0000 0.0000 0.0000
Ca1 0.0000 0.5000 0.5000
Rh1 0.5000 0.5000 0.0000
O1 0.0000 0.0000 0.5000
```

The following is a DFT calculation (GGA-PBE) of an optimized crystal structure of KCuRh.

Output
volume: 22.5 Å³/atom
ΔE to the lowest computed polymorph: 651 meV/atom
size of the total moment: 0.07 μB/atom

```
data_KCuRh
_chemical_formula_sum 'K4 Cu4 Rh4'
_cell_length_a 6.4646
_cell_length_b 6.4646
_cell_length_c 6.4646
_cell_angle_alpha 90.00
_cell_angle_beta 90.00
_cell_angle_gamma 90.00
_symmetry_space_group_name_H-M 'F -4 3 m'
_symmetry_Int_Tables_number 216
_symmetry_space_group_name_Hall 'F -4 2 3'
loop_
_atom_site_label
_atom_site_fract_x
_atom_site_fract_y
_atom_site_fract_z
K1 0.0000 0.0000 0.0000
Cu1 0.0000 0.0000 0.5000
Rh1 0.2500 0.2500 0.2500
```

The following is a DFT calculation (GGA-PBE) of an optimized crystal structure of Sc4Al3Pd.

Output
volume: 19.0 Å³/atom
VASP energy: -5.783 eV/atom
size of the total moment: 0.00 μB/atom

```
data_Sc4Al3Pd
_chemical_formula_sum 'Sc4 Al3 Pd1'
_cell_length_a 3.3641
_cell_length_b 3.3641
_cell_length_c 13.4533
_cell_angle_alpha 90.00
_cell_angle_beta 90.00
_cell_angle_gamma 90.00
_symmetry_space_group_name_H-M 'P 4/m m m'
_symmetry_Int_Tables_number 123
_symmetry_space_group_name_Hall '-P 4 2'
loop_
_atom_site_label
_atom_site_fract_x
_atom_site_fract_y
_atom_site_fract_z
Sc1 0.0000 0.0000 0.1188
Sc2 0.0000 0.0000 0.3731
Al1 0.5000 0.5000 0.2464
Al2 0.5000 0.5000 0.5000
Pd1 0.5000 0.5000 0.0000
```

The following is a DFT calculation (GGA-PBE) of an optimized crystal structure of Y2PaO.

Output
volume: 22.2 Å³/atom
raw formation energy: -1.06 eV per atom
size of the total moment: 0.00 μB/atom

```
data_Y2PaO
_chemical_formula_sum 'Y6 Pa3 O3'
_cell_length_a 3.3087
_cell_length_b 3.3087
_cell_length_c 28.0515
_cell_angle_alpha 90.00
_cell_angle_beta 90.00
_cell_angle_gamma 120.00
_symmetry_space_group_name_H-M 'R -3 m'
_symmetry_Int_Tables_number 166
_symmetry_space_group_name_Hall '-R 3 2"'
loop_
_atom_site_label
_atom_site_fract_x
_atom_site_fract_y
_atom_site_fract_z
Y1 0.0000 0.0000 0.1156
Pa1 0.0000 0.0000 0.0000
O1 0.0000 0.0000 0.5000
```

The following is a DFT calculation (GGA-PBE) of an optimized crystal structure of Li5Mg6.

Output
volume: 21.3 Å³/atom
VASP energy: -1.738 eV/atom
size of the total moment: 0.00 μB/atom

```
data_Li5Mg6
_chemical_formula_sum 'Li10 Mg12'
_cell_length_a 9.0045
_cell_length_b 12.9027
_cell_length_c 4.7420
_cell_angle_alpha 90.00
_cell_angle_beta 121.57
_cell_angle_gamma 90.00
_symmetry_space_group_name_H-M 'C 1 2/m 1'
_symmetry_Int_Tables_number 12
_symmetry_space_group_name_Hall '-C 2y'
loop_
_atom_site_label
_atom_site_fract_x
_atom_site_fract_y
_atom_site_fract_z
Li1 0.0000 0.0000 0.0000
Li2 0.0000 0.1457 0.5000
Li3 0.0000 0.2961 0.0000
Mg1 0.2011 0.5000 0.2014
Mg2 0.2096 0.3456 0.7097
```

The following is a DFT calculation (GGA-PBE) of an optimized crystal structure of La2ScMo.

Output
volume: 28.6 Å³/atom
ΔE to the lowest computed polymorph: 349 meV/atom
size of the total moment: 0.00 μB/atom

```
data_La2ScMo
_chemical_formula_sum 'La8 Sc4 Mo4'
_cell_length_a 8.6892
_cell_length_b 8.6892
_cell_length_c 6.0597
_cell_angle_alpha 90.00
_cell_angle_beta 90.00
_cell_angle_gamma 90.00
_symmetry_space_group_name_H-M 'I -4 2 d'
_symmetry_Int_Tables_number 122
_symmetry_space_group_name_Hall 'I -4 2bw'
loop_
_atom_site_label
_atom_site_fract_x
_atom_site_fract_y
_atom_site_fract_z
La1 0.1705 0.2500 0.1250
Sc1 0.0000 0.0000 0.5000
Mo1 0.0000 0.0000 0.0000
```

The following is a DFT calculation (GGA-PBE) of an optimized crystal structure of SrGaAgF6.

Output
volume: 15.7 Å³/atom
raw formation energy: -2.68 eV per atom
size of the total moment: 0.01 μB/atom

```
data_SrGaAgF6
_chemical_formula_sum 'Sr2 Ga2 Ag2 F12'
_cell_length_a 6.0171
_cell_length_b 6.0171
_cell_length_c 9.0051
_cell_angle_alpha 90.00
_cell_angle_beta 90.00
_cell_angle_gamma 120.00
_symmetry_space_group_name_H-M 'P -3 1 c'
_symmetry_Int_Tables_number 163
_symmetry_space_group_name_Hall '-P 3 2c'
loop_
_atom_site_label
_atom_site_fract_x
_atom_site_fract_y
_atom_site_fract_z
Sr1 0.3333 0.6667 0.2500
Ga1 0.3333 0.6667 0.7500
Ag1 0.0000 0.0000 0.0000
F1 0.0645 0.3992 0.6321
```

The following is a DFT calculation (GGA-PBE) of an optimized crystal structure of KCaPb2.

Output
volume: 39.2 Å³/atom
VASP energy: -2.746 eV/atom
size of the total moment: 0.00 μB/atom

```
data_KCaPb2
_chemical_formula_sum 'K2 Ca2 Pb4'
_cell_length_a 5.7000
_cell_length_b 5.8407
_cell_length_c 9.4097
_cell_angle_alpha 90.00
_cell_angle_beta 90.00
_cell_angle_gamma 90.00
_symmetry_space_group_name_H-M 'C m m 2'
_symmetry_Int_Tables_number 35
_symmetry_space_group_name_Hall 'C 2 -2'
loop_
_atom_site_label
_atom_site_fract_x
_atom_site_fract_y
_atom_site_fract_z
K1 0.0000 0.0000 0.0000
Ca1 0.0000 0.5000 0.3645
Pb1 0.0000 0.0000 0.5651
Pb2 0.0000 0.5000 0.7356
```

The following is a DFT calculation (GGA-PBE) of an optimized crystal structure of PuGa2Ge.

Output
volume: 19.5 Å³/atom
ΔE to the lowest computed polymorph: 161 meV/atom
size of the total moment: 1.35 μB/atom

```
data_PuGa2Ge
_chemical_formula_sum 'Pu1 Ga2 Ge1'
_cell_length_a 2.8597
_cell_length_b 4.7788
_cell_length_c 5.6949
_cell_angle_alpha 90.00
_cell_angle_beta 90.00
_cell_angle_gamma 90.00
_symmetry_space_group_name_H-M 'P m m m'
_symmetry_Int_Tables_number 47
_symmetry_space_group_name_Hall '-P 2 2'
loop_
_atom_site_label
_atom_site_fract_x
_atom_site_fract_y
_atom_site_fract_z
Pu1 0.0000 0.0000 0.0000
Ga1 0.5000 0.5000 0.2549
Ge1 0.5000 0.0000 0.5000
```

The following is a DFT calculation (GGA-PBE) of an optimized crystal structure of CaNiH3.

Output
volume: 10.2 Å³/atom
VASP energy: -3.933 eV/atom
size of the total moment: 0.00 μB/atom

```
data_CaNiH3
_chemical_formula_sum 'Ca8 Ni8 H24'
_cell_length_a 7.3819
_cell_length_b 9.5733
_cell_length_c 6.1983
_cell_angle_alpha 90.00
_cell_angle_beta 110.95
_cell_angle_gamma 90.00
_symmetry_space_group_name_H-M 'C 1 2/c 1'
_symmetry_Int_Tables_number 15
_symmetry_space_group_name_Hall '-C 2yc'
loop_
_atom_site_label
_atom_site_fract_x
_atom_site_fract_y
_atom_site_fract_z
Ca1 0.0000 0.0899 0.2500
Ca2 0.0000 0.3277 0.7500
Ni1 0.1740 0.3772 0.2983
H1 0.1009 0.1121 0.6375
H2 0.1635 0.2559 0.1281
H3 0.1643 0.4796 0.4889
```